1.
PaSiGe | GGA-PBE | relaxed

The structure in POSCAR format:
```
PaSiGe
1.0
4.097 0.000 0.000
0.000 3.964 0.000
0.000 -1.982 7.576
Si Pa Ge
2 2 2
Cartesian
3.073 1.982 0.545
1.024 0.000 7.031
3.073 1.982 5.866
1.024 0.000 1.710
3.073 1.982 2.882
1.024 0.000 4.694
```

Properties
The energy above the lowest structure with this stoichiometry is 0 meV/atom. The calculation puts the density at 9.0 g/cm³. As for the crystal system: orthorhombic. The formation energy (no corrections) is -1.17 eV per formula unit. The electronic total energy comes out at -0.2537 Ha/atom. As for the space group: Cmcm (63).

---

2.
Na2ThCuTe4 | GGA-PBE | relaxed

The structure in POSCAR format:
```
Na2ThCuTe4
1.0
4.273 0.000 0.000
0.000 7.787 -0.019
0.000 -2.862 7.586
Na Cu Te Th
2 1 4 1
Cartesian
2.136 -1.431 3.793
0.000 2.462 3.784
0.000 0.000 0.000
0.000 -0.035 5.607
2.136 1.023 1.409
2.136 3.902 6.158
0.000 4.960 1.960
2.136 3.893 -0.009
```

Properties
The calculation puts the density at 5.6 g/cm³. As for the crystal system: monoclinic. The formation energy (no corrections) is -5.93 eV per formula unit. The electronic total energy comes out at -0.1500 Ha/atom. As for the space group: P2/m (10).

---

3.
Ba2PW | GGA-PBE | relaxed

The structure in POSCAR format:
```
Ba2PW
1.0
5.386 0.000 0.000
2.693 4.664 0.000
2.693 1.555 4.397
Ba P W
2 1 1
Cartesian
2.693 1.555 1.099
0.000 0.000 0.000
5.386 3.109 2.199
8.079 4.664 3.298
```

Properties
The energy of formation is 3.9 eV per formula unit. The calculation puts the density at 7.4 g/cm³. As for the crystal system: cubic. The electronic total energy comes out at -0.1678 Ha/atom. As for the space group: F-43m (216).